Here is a relaxed Ba2CrHg crystal from Alexandria via LeMat-Bulk. Energies are from PBE-GGA.

Cell: 4.9388 4.9388 8.7466 Å, 73.78 73.78 59.77°
With the nearest neighbours (Å) after each atom.
Fractional coordinates of all 4 atoms:
Ba: 0.0020 0.0020 0.9945  3 Cr 3.49, 3 Hg 3.54-3.55
Ba: 0.4980 0.4980 0.5055  3 Cr 3.49, 3 Hg 3.54-3.55
Cr: 0.7500 0.7500 0.7500  6 Ba 3.49
Hg: 0.2500 0.2500 0.2500  6 Ba 3.54-3.55

Calculated values
ΔH_f (0 K) ... 0.33 eV per atom
Calculated volume ... 43.63 Å³ per atom
Energy ... -3.113 eV/atom

---

Here is a relaxed LiTl3Re2O8 crystal from Alexandria via LeMat-Bulk. Energies are from PBE-GGA.

Cell: 6.1254 6.1254 7.8134 Å, 90.00 90.00 120.00°
With the nearest neighbours (Å) after each atom.
Fractional coordinates of all 14 atoms:
Li: 0.0000 0.0000 0.5000  6 O 2.35
Tl: 0.3333 0.6667 0.6717  1 O 2.59
Tl: 0.6667 0.3333 0.3283  1 O 2.59
Tl: 0.0000 0.0000 0.0000  6 O 3.06
Re: 0.3333 0.6667 0.2327  4 O 1.79-1.81
Re: 0.6667 0.3333 0.7673  4 O 1.79-1.81
O: 0.3333 0.6667 0.0032  1 Re 1.79
O: 0.6667 0.3333 0.9968  1 Re 1.79
O: 0.1731 0.8269 0.3130  1 Re 1.81
O: 0.8269 0.1731 0.6871  1 Re 1.81
O: 0.1731 0.3461 0.3130  1 Re 1.81
O: 0.8269 0.6539 0.6871  1 Re 1.81
O: 0.6539 0.8269 0.3130  1 Re 1.81
O: 0.3461 0.1731 0.6871  1 Re 1.81

Calculated values
Uncorrected formation energy ... -1299 meV/atom
Calculated volume ... 18.13 Å³ per atom
Energy ... -6.554 eV/atom

---

Question: The highest energy belongs to which entry?
Answer: Ba2CrHg